# 1
Compound: Sm2MnTc
Source: Alexandria
Functional: GGA-PBE
Structure: relaxed

Calculated values
Its total energy is -0.2417 hartree per atom. The calculation puts the total magnetization at 0.909 μB per atom. The value obtained for the formation energy is 666 meV/atom. As for the space group: No. 166.

Lattice parameters (Å, degrees): 10.4336 10.4336 10.4336 18.37 18.37 18.37
Last column: nearest neighbours and their distance in Å.
Fractional positions:
Sm: 0.0976 0.0976 0.0976  3 Tc 2.87, 1 Mn 3.00
Sm: 0.9024 0.9024 0.9024  3 Tc 2.87, 1 Mn 3.00
Mn: 0.0000 0.0000 0.0000  2 Sm 3.00, 6 Mn 3.33
Tc: 0.5000 0.5000 0.5000  6 Sm 2.87

***

# 2
Compound: SmMnTe3
Source: Alexandria
Functional: GGA-PBE
Structure: relaxed

Calculated values
Its total energy is -0.1995 hartree per atom. The calculation puts the total magnetization at 0.799 μB per atom. The uncorrected formation energy is -0.77 eV/atom. As for the space group: No. 11.

Lattice parameters (Å, degrees): 7.8431 4.2491 8.6914 90.00 93.98 90.00
Last column: nearest neighbours and their distance in Å.
Fractional positions:
Sm: 0.1218 0.2500 0.2874  8 Te 3.14-3.31
Sm: 0.8782 0.7500 0.7126  8 Te 3.14-3.31
Mn: 0.3514 0.7500 0.8383  6 Te 2.69-2.86
Mn: 0.6486 0.2500 0.1617  6 Te 2.69-2.86
Te: 0.1271 0.2500 0.9066  2 Mn 2.85
Te: 0.2321 0.7500 0.5410  1 Mn 2.69
Te: 0.4039 0.7500 0.1593  3 Mn 2.79-2.86
Te: 0.5961 0.2500 0.8407  3 Mn 2.79-2.86
Te: 0.7679 0.2500 0.4590  1 Mn 2.69
Te: 0.8729 0.7500 0.0934  2 Mn 2.85

***

# 3
Compound: SmMnTlTe3
Source: Alexandria
Functional: GGA-PBE
Structure: relaxed

Calculated values
Its total energy is -0.1842 hartree per atom. The calculation puts the total magnetization at 0.834 μB per atom. The uncorrected formation energy is -0.73 eV/atom. As for the space group: No. 11.

Lattice parameters (Å, degrees): 9.6451 4.4950 10.2795 90.00 106.19 90.00
Last column: nearest neighbours and their distance in Å.
Fractional positions:
Sm: 0.1709 0.2500 0.1433  6 Te 3.12-3.26
Sm: 0.8291 0.7500 0.8567  6 Te 3.12-3.26
Mn: 0.4154 0.7500 0.3966  4 Te 2.68-2.80
Mn: 0.5846 0.2500 0.6034  4 Te 2.68-2.80
Tl: 0.2968 0.7500 0.7788  7 Te 3.44-3.85
Tl: 0.7032 0.2500 0.2212  7 Te 3.44-3.85
Te: 0.0458 0.2500 0.8286  3 Sm 3.12-3.14, 2 Tl 3.44
Te: 0.2882 0.2500 0.4727  3 Mn 2.78-2.80
Te: 0.3982 0.7500 0.1313  1 Mn 2.68
Te: 0.6018 0.2500 0.8687  1 Mn 2.68
Te: 0.7118 0.7500 0.5273  3 Mn 2.78-2.80
Te: 0.9542 0.7500 0.1714  3 Sm 3.12-3.14, 2 Tl 3.44

***

# 4
Compound: Sm3MnTl3Te8
Source: Alexandria
Functional: GGA-PBE
Structure: relaxed

Calculated values
Its total energy is -0.1662 hartree per atom. The calculation puts the total magnetization at 0.218 μB per atom. The uncorrected formation energy is -0.82 eV/atom. As for the space group: No. 166.

Lattice parameters (Å, degrees): 9.6773 9.6773 9.6773 54.18 54.18 54.18
Last column: nearest neighbours and their distance in Å.
Fractional positions:
Sm: 0.0000 0.5000 0.5000  6 Te 3.13-3.15
Sm: 0.5000 0.0000 0.5000  6 Te 3.13-3.15
Sm: 0.5000 0.5000 0.0000  6 Te 3.13-3.15
Mn: 0.0000 0.0000 0.0000  6 Te 2.82
Tl: 0.0000 0.0000 0.5000  6 Te 3.42-3.46
Tl: 0.0000 0.5000 0.0000  6 Te 3.42-3.46
Tl: 0.5000 0.0000 0.0000  6 Te 3.42-3.46
Te: 0.2164 0.2164 0.7671  1 Mn 2.82, 2 Sm 3.15
Te: 0.2164 0.7671 0.2164  1 Mn 2.82, 2 Sm 3.15
Te: 0.2329 0.7836 0.7836  1 Mn 2.82, 2 Sm 3.15
Te: 0.2595 0.2595 0.2595  3 Sm 3.13, 3 Tl 3.42
Te: 0.7405 0.7405 0.7405  3 Sm 3.13, 3 Tl 3.42
Te: 0.7671 0.2164 0.2164  1 Mn 2.82, 2 Sm 3.15
Te: 0.7836 0.2329 0.7836  1 Mn 2.82, 2 Sm 3.15
Te: 0.7836 0.7836 0.2329  1 Mn 2.82, 2 Sm 3.15